Compound: Cs2ZnCoBr6
Source: Alexandria
Functional: GGA-PBE
Structure: relaxed

Results
Formation energy (no corrections), meV/atom: -997
Theoretical density, g/cm³: 4.2

Cell lengths 7.754, 7.754, 7.887 Å; angles 60.56, 60.56, 90.00 degrees
Atoms (fractional coordinates):
1 Cs 0.750 0.250 0.500
2 Cs 0.250 0.750 0.500
3 Br 0.793 0.793 0.414
4 Br 0.274 0.274 0.000
5 Br 0.274 0.726 0.000
6 Br 0.726 0.274 0.000
7 Br 0.207 0.207 0.586
8 Br 0.726 0.726 0.000
9 Zn 0.000 0.000 0.000
10 Co 0.500 0.500 0.000